(1)
## KCr2Re (PBE)

Data for KCr2Re after structural relaxation.

The space group is R-3m (No. 166, hexagonal axes) and the conventional cell measures 2.7909, 2.7909 and 30.3904 Å, with angles of 90.00, 90.00 and 120.00 degrees. The inequivalent atoms are K at (0.0000, 0.0000, 0.0000), Cr at (0.0000, 0.0000, 0.2331) and Re at (0.0000, 0.0000, 0.5000).

The calculation puts the magnetization at 0.003 μB/atom. As for the relative energy among the computed polymorphs: 255 meV per atom. For the total energy, the calculation gives -85.77 eV/cell. The density of states at the Fermi level is 1.4110 states/eV per atom.

***

(2)
## KCrReW2 (PBE)

Data for KCrReW2 after structural relaxation.

The space group is P4/mmm (No. 123) and the conventional cell measures 4.884, 4.884 and 4.718 Å, with angles of 90.00, 90.00 and 90.00 degrees. The inequivalent atoms are K at (0.000, 0.000, 0.000), Cr at (0.500, 0.500, 0.000), Re at (0.500, 0.500, 0.500) and W at (0.000, 0.500, 0.500).

The calculation puts the magnetization at 0.000 μB/atom. For the total energy, the calculation gives -39.12 eV/cell. The density of states at the Fermi level is 1.5708 states/eV per atom.

***

(3)
## KCrRh2 (PBE)

Data for KCrRh2 after structural relaxation.

The space group is Pmmm (No. 47) and the conventional cell measures 2.914, 4.825 and 4.962 Å, with angles of 90.00, 90.00 and 90.00 degrees. The inequivalent atoms are K at (0.000, 0.000, 0.000), Cr at (0.500, 0.000, 0.500), Rh at (0.000, 0.500, 0.500) and Rh at (0.500, 0.500, 0.000).

The calculation puts the magnetization at 0.911 μB/atom. As for the relative energy among the computed polymorphs: 642 meV per atom. For the total energy, the calculation gives -21.70 eV/cell. The density of states at the Fermi level is 1.4477 states/eV per atom.

***

(4)
## KCrRh (PBE)

Data for KCrRh after structural relaxation.

The space group is Imm2 (No. 44) and the conventional cell measures 2.971, 3.745 and 12.392 Å, with angles of 90.00, 90.00 and 90.00 degrees. The inequivalent atoms are K at (0.000, 0.000, 0.000), Cr at (0.000, 0.000, 0.275) and Rh at (0.000, 0.000, 0.712).

The calculation puts the magnetization at 1.153 μB/atom. As for the relative energy among the computed polymorphs: 0 meV per atom. For the total energy, the calculation gives -33.03 eV/cell. The density of states at the Fermi level is 0.8774 states/eV per atom.

***

(5)
## K3CrRh (PBE)

Data for K3CrRh after structural relaxation.

The space group is Pm-3m (No. 221) and the conventional cell measures 6.040, 6.040 and 6.040 Å, with angles of 90.00, 90.00 and 90.00 degrees. The inequivalent atoms are K at (0.000, 0.000, 0.500), Cr at (0.500, 0.500, 0.500) and Rh at (0.000, 0.000, 0.000).

The calculation puts the magnetization at 1.194 μB/atom. As for the relative energy among the computed polymorphs: 0 meV per atom. For the total energy, the calculation gives -15.09 eV/cell. The density of states at the Fermi level is 0.8804 states/eV per atom.

***

(6)
## K2CrRh (PBE)

Data for K2CrRh after structural relaxation.

The space group is C2/m (No. 12) and the conventional cell measures 5.847, 11.354 and 3.203 Å, with angles of 90.00, 118.57 and 90.00 degrees. The inequivalent atoms are K at (0.250, 0.250, 0.000), Cr at (0.000, 0.000, 0.500) and Rh at (0.000, 0.500, 0.500).

The calculation puts the magnetization at 1.081 μB/atom. As for the relative energy among the computed polymorphs: 522 meV per atom. For the total energy, the calculation gives -30.29 eV/cell. The density of states at the Fermi level is 0.6498 states/eV per atom.

***

(7)
## KCrRh2 (PBE)

Data for KCrRh2 after structural relaxation.

The space group is Cmm2 (No. 35) and the conventional cell measures 2.829, 4.630 and 10.181 Å, with angles of 90.00, 90.00 and 90.00 degrees. The inequivalent atoms are K at (0.000, 0.000, 0.000), Cr at (0.000, 0.500, 0.699), Rh at (0.000, 0.000, 0.501) and Rh at (0.000, 0.500, 0.268).

The calculation puts the magnetization at 0.057 μB/atom. As for the relative energy among the computed polymorphs: 509 meV per atom. For the total energy, the calculation gives -44.45 eV/cell. The density of states at the Fermi level is 1.4815 states/eV per atom.

***

(8)
## K2CrRh (PBE)

Data for K2CrRh after structural relaxation.

The space group is Cmmm (No. 65) and the conventional cell measures 5.810, 10.789 and 3.232 Å, with angles of 90.00, 90.00 and 90.00 degrees. The inequivalent atoms are K at (0.250, 0.250, 0.000), Cr at (0.000, 0.000, 0.500) and Rh at (0.000, 0.500, 0.500).

The calculation puts the magnetization at 1.125 μB/atom. As for the relative energy among the computed polymorphs: 562 meV per atom. For the total energy, the calculation gives -29.97 eV/cell. The density of states at the Fermi level is 1.1161 states/eV per atom.

***

(9)
## K2CrRh (PBE)

Data for K2CrRh after structural relaxation.

The space group is Pmmm (No. 47) and the conventional cell measures 3.473, 4.839 and 5.588 Å, with angles of 90.00, 90.00 and 90.00 degrees. The inequivalent atoms are K at (0.000, 0.000, 0.000), K at (0.500, 0.500, 0.000), Cr at (0.000, 0.500, 0.500) and Rh at (0.500, 0.000, 0.500).

The calculation puts the magnetization at 1.085 μB/atom. As for the relative energy among the computed polymorphs: 493 meV per atom. For the total energy, the calculation gives -15.26 eV/cell. The density of states at the Fermi level is 0.7714 states/eV per atom.

***

(10)
## K2CrRh (PBE)

Data for K2CrRh after structural relaxation.

The space group is I-42d (No. 122) and the conventional cell measures 12.282, 12.282 and 4.644 Å, with angles of 90.00, 90.00 and 90.00 degrees. The inequivalent atoms are K at (0.068, 0.750, 0.125), Cr at (0.000, 0.000, 0.500) and Rh at (0.000, 0.000, 0.000).

The calculation puts the magnetization at 1.105 μB/atom. As for the relative energy among the computed polymorphs: 273 meV per atom. For the total energy, the calculation gives -64.58 eV/cell. The density of states at the Fermi level is 0.8367 states/eV per atom.

***

(11)
## KCr3Rh (PBE)

Data for KCr3Rh after structural relaxation.

The space group is Pm-3m (No. 221) and the conventional cell measures 4.983, 4.983 and 4.983 Å, with angles of 90.00, 90.00 and 90.00 degrees. The inequivalent atoms are K at (0.000, 0.000, 0.000), Cr at (0.000, 0.500, 0.500) and Rh at (0.500, 0.500, 0.500).

The calculation puts the magnetization at 2.415 μB/atom. For the total energy, the calculation gives -31.76 eV/cell. The density of states at the Fermi level is 1.9831 states/eV per atom.

***

(12)
## KCrRh2 (PBE)

Data for KCrRh2 after structural relaxation.

The space group is Cm (No. 8) and the conventional cell measures 9.124, 2.886 and 6.563 Å, with angles of 90.00, 98.54 and 90.00 degrees. The inequivalent atoms are K at (0.000, 0.000, 0.000), Cr at (0.283, 0.500, 0.399), Rh at (0.000, 0.500, 0.482) and Rh at (0.227, 0.000, 0.670).

The calculation puts the magnetization at 0.619 μB/atom. As for the relative energy among the computed polymorphs: 248 meV per atom. For the total energy, the calculation gives -46.54 eV/cell. The density of states at the Fermi level is 0.9634 states/eV per atom.

***

(13)
## KCrRh2 (PBE)

Data for KCrRh2 after structural relaxation.

The space group is I-42d (No. 122) and the conventional cell measures 7.270, 7.270 and 6.044 Å, with angles of 90.00, 90.00 and 90.00 degrees. The inequivalent atoms are K at (0.000, 0.000, 0.000), Cr at (0.000, 0.000, 0.500) and Rh at (0.174, 0.250, 0.625).

The calculation puts the magnetization at 0.356 μB/atom. As for the relative energy among the computed polymorphs: 530 meV per atom. For the total energy, the calculation gives -88.56 eV/cell. The density of states at the Fermi level is 0.9287 states/eV per atom.

***

(14)
## K2CrRh (PBE)

Data for K2CrRh after structural relaxation.

The space group is F-43m (No. 216) and the conventional cell measures 7.381, 7.381 and 7.381 Å, with angles of 90.00, 90.00 and 90.00 degrees. The inequivalent atoms are K at (0.000, 0.000, 0.000), K at (0.250, 0.250, 0.250), Cr at (0.000, 0.000, 0.500) and Rh at (0.250, 0.250, 0.750).

The calculation puts the magnetization at 1.204 μB/atom. As for the relative energy among the computed polymorphs: 472 meV per atom. For the total energy, the calculation gives -61.39 eV/cell. The density of states at the Fermi level is 1.3455 states/eV per atom.

***

(15)
## K2CrRh (PBE)

Data for K2CrRh after structural relaxation.

The space group is Cm (No. 8) and the conventional cell measures 7.289, 4.202 and 9.678 Å, with angles of 90.00, 103.67 and 90.00 degrees. The inequivalent atoms are K at (0.000, 0.000, 0.000), K at (0.171, 0.000, 0.546), Cr at (0.252, 0.500, 0.273) and Rh at (0.419, 0.000, 0.273).

The calculation puts the magnetization at 0.925 μB/atom. As for the relative energy among the computed polymorphs: 20 meV per atom. For the total energy, the calculation gives -34.31 eV/cell. The density of states at the Fermi level is 0.9221 states/eV per atom.